Compound: PmInGe2Pd5
Source: Alexandria via LeMat-Bulk
Functional: PBE
Structure: relaxed

Space-group type: No. 123
DFT formation energy, eV per atom: -0.53
Total energy, eV/atom: -5.271

Structure (extended XYZ):
```
9
Lattice="4.539 0.000 0.000 0.000 4.539 0.000 0.000 0.000 8.172" Properties=species:S:1:pos:R:3 pbc="T T T"
Pm 0.000 0.000 4.086
In 0.000 0.000 0.000
Ge 2.270 2.270 1.221
Ge 2.270 2.270 6.951
Pd 0.000 2.270 2.160
Pd 2.270 0.000 2.160
Pd 0.000 2.270 6.012
Pd 2.270 0.000 6.012
Pd 2.270 2.270 4.086
```